# YCuAs2

A relaxed structure of YCuAs2 (PBE-GGA, the Alexandria database).

## Properties
Calculated total energy ... -43.5 eV/cell

Unit cell a=3.8140 b=4.2258 c=9.5598 alpha=90.00 beta=90.00 gamma=90.00
Space group Imm2 (No. 44)
Symmetry-distinct sites (fractional):
Y 0.0000 0.0000 0.0000 (multiplicity 2)
Cu 0.0000 0.5000 0.2281 (multiplicity 2)
As 0.0000 0.0000 0.5259 (multiplicity 2)
As 0.0000 0.5000 0.7632 (multiplicity 2)